DFT (PBE+U) results for LiMnF3 after structural relaxation.

Properties
Total DFT energy (no corrections), eV per cell: -114.163
Symmetry: Pnma
Relative energy among the computed polymorphs, eV/atom: 0.064
DOS at the Fermi energy, states/eV per cell: 0.000

Cell lengths 5.6370, 6.0574, 8.7818 Å; angles 90.00, 90.00, 90.00 degrees
Last column: nearest neighbours and their distance in Å.
Fractional positions:
Li: 0.1973 0.2062 0.7500  4 F 1.90-1.98
Li: 0.6973 0.2938 0.2500  4 F 1.90-1.98
Li: 0.3027 0.7062 0.7500  4 F 1.90-1.98
Li: 0.8027 0.7938 0.2500  4 F 1.90-1.98
Mn: 0.5000 0.0000 0.0000  6 F 2.13-2.20
Mn: 0.5000 0.0000 0.5000  6 F 2.13-2.20
Mn: 0.0000 0.5000 0.0000  6 F 2.13-2.20
Mn: 0.0000 0.5000 0.5000  6 F 2.13-2.20
F: 0.1963 0.2032 0.5337  1 Li 1.90
F: 0.1963 0.2032 0.9663  1 Li 1.90
F: 0.0358 0.4944 0.7500  2 Li 1.97-1.98
F: 0.4642 0.9944 0.7500  2 Li 1.97-1.98
F: 0.3037 0.7032 0.5337  1 Li 1.90
F: 0.3037 0.7032 0.9663  1 Li 1.90
F: 0.6963 0.2968 0.0337  1 Li 1.90
F: 0.6963 0.2968 0.4663  1 Li 1.90
F: 0.5358 0.0056 0.2500  2 Li 1.97-1.98
F: 0.9642 0.5056 0.2500  2 Li 1.97-1.98
F: 0.8037 0.7968 0.4663  1 Li 1.90
F: 0.8037 0.7968 0.0337  1 Li 1.90